Record 1
! Ce2AgS2O2, relaxed, DFT PBE; values from VASP
! Spin magnetization: 1.1 μB per formula unit
! E: -48.45 eV per cell
&SYSTEM
  ibrav = 0, nat = 7, ntyp = 4
/
ATOMIC_SPECIES
Ce 140.12 Ce.upf
Ag 107.87 Ag.upf
S 32.06 S.upf
O 16.00 O.upf
ATOMIC_POSITIONS angstrom
Ce 1.999 1.154 3.977
Ce 0.000 2.309 6.988
Ag 0.000 0.000 0.000
S 0.000 0.000 2.355
S 0.000 0.000 8.611
O 1.999 1.154 6.299
O 0.000 2.309 4.667
CELL_PARAMETERS angstrom
3.999 0.000 0.000
-1.999 3.463 0.000
0.000 0.000 10.965

Record 2
! CeAgSbO, relaxed, DFT PBE; values from VASP
! Spin magnetization: 0.3 μB per formula unit
! E: -48.83 eV per cell
&SYSTEM
  ibrav = 0, nat = 8, ntyp = 4
/
ATOMIC_SPECIES
Ce 140.12 Ce.upf
Ag 107.87 Ag.upf
Sb 121.76 Sb.upf
O 16.00 O.upf
ATOMIC_POSITIONS angstrom
Ce -6.864 -1.602 5.248
Ce -1.952 1.329 -0.220
Ag -3.362 -0.022 3.515
Ag -5.455 -0.251 1.512
Sb -5.875 1.303 3.882
Sb -2.942 -1.576 1.146
O -2.093 -0.229 -2.003
O 0.000 0.000 0.000
CELL_PARAMETERS angstrom
-2.268 2.668 -2.152
-1.919 -3.126 -1.855
-6.723 -0.045 7.031

Record 3
! CeAgSe2O8, relaxed, DFT PBE; values from VASP
! Spin magnetization: 1.0 μB per formula unit
! E: -69.35 eV per cell
&SYSTEM
  ibrav = 0, nat = 12, ntyp = 4
/
ATOMIC_SPECIES
Ce 140.12 Ce.upf
Ag 107.87 Ag.upf
Se 78.96 Se.upf
O 16.00 O.upf
ATOMIC_POSITIONS angstrom
Ce 0.000 0.000 3.509
Ag 0.000 0.000 0.000
Se 2.919 1.685 1.387
Se 0.000 3.370 5.631
O 0.000 3.370 0.246
O 1.553 0.886 2.009
O 4.294 0.902 2.009
O 2.919 1.685 6.772
O -1.375 4.154 5.009
O 1.366 4.169 5.009
O 0.009 1.788 5.009
O 2.910 3.267 2.009
CELL_PARAMETERS angstrom
5.838 0.000 0.000
-2.919 5.056 0.000
0.000 0.000 7.018

Record 4
! CeSi2AgO6, relaxed, DFT PBE; values from VASP
! Spin magnetization: 1.0 μB per formula unit
! E: -148.90 eV per cell
&SYSTEM
  ibrav = 0, nat = 20, ntyp = 4
/
ATOMIC_SPECIES
Ce 140.12 Ce.upf
Si 28.09 Si.upf
Ag 107.87 Ag.upf
O 16.00 O.upf
ATOMIC_POSITIONS angstrom
Ce 0.707 -2.607 4.425
Ce 4.056 -0.937 4.023
Si 1.648 1.761 3.244
Si 3.071 -2.791 7.069
Si 3.115 -5.305 5.204
Si 1.692 -0.753 1.379
Ag 4.353 -3.514 1.988
Ag 0.410 -0.030 6.459
O -0.524 -3.756 6.020
O -0.729 -0.795 4.611
O 5.287 0.212 2.427
O 5.492 -2.749 3.836
O 2.597 3.123 3.065
O 3.090 -4.394 6.601
O 2.166 -6.667 5.383
O 1.673 0.850 1.846
O 2.249 -1.615 2.657
O 2.448 -4.416 3.999
O 2.514 -1.929 5.790
O 2.315 0.872 4.449
CELL_PARAMETERS angstrom
-3.068 -2.920 6.029
5.379 -5.020 0.385
2.452 4.396 2.033

no.,uncorrected formation energy (meV per atom)
1,-2223
2,-1637
3,-1161
4,-2507